SiPt2Au after structural relaxation, computed with PBE.

Values from the calculation:
- ΔE_f (raw): -0.344 eV per atom
- Energy: -22.2 eV for the cell shown
- Space-group type: Pmmm

Cell lengths 2.890, 2.995, 7.183 Å; angles 90.00, 90.00, 90.00 degrees
Atoms (fractional coordinates):
Si 0.000 0.000 0.000
Pt 0.500 0.500 0.201
Pt 0.500 0.500 0.799
Au 0.000 0.000 0.500